# K2EuH4 | Alexandria via LeMat-Bulk | PBE | relaxed
data_K2EuH4
_chemical_formula_sum 'K2 Eu1 H4'
_symmetry_space_group_name_H-M 'P 1'
_symmetry_Int_Tables_number 1
_cell_length_a 4.5788
_cell_length_b 4.5788
_cell_length_c 7.8728
_cell_angle_alpha 106.91
_cell_angle_beta 106.91
_cell_angle_gamma 90.00
loop_
_symmetry_equiv_pos_as_xyz
'x,y,z'
loop_
_atom_site_label
_atom_site_type_symbol
_atom_site_fract_x
_atom_site_fract_y
_atom_site_fract_z
H1 H 0.5000 0.0000 0.0000
H2 H 0.0000 0.5000 0.0000
H3 H 0.1662 0.1662 0.3325
H4 H 0.8338 0.8338 0.6675
K1 K 0.6520 0.6520 0.3040
K2 K 0.3480 0.3480 0.6960
Eu1 Eu 0.0000 0.0000 0.0000
# total moment: 7.0 μB per cell
# energy: -27.78 eV/f.u.